Entry a
MgZrTe at its PBEsol-relaxed geometry, computed with SCAN.

Cell lengths 3.6074, 3.6074, 6.6679 Å; angles 90.00, 90.00, 120.00 degrees
Space group P3m1 (No. 156)
Symmetry-distinct sites (fractional):
Mg 0.0000 0.0000 0.0000 [1 per cell]
Zr 0.6667 0.3333 0.3613 [1 per cell]
Te 0.3333 0.6667 0.6522 [1 per cell]

Entry b
MgZrTe at its PBEsol-relaxed geometry, computed with SCAN.

Cell lengths 6.812, 6.812, 6.812 Å; angles 90.00, 90.00, 90.00 degrees
Space group F-43m (No. 216)
Symmetry-distinct sites (fractional):
Mg 0.000 0.000 0.000 [4 per cell]
Zr 0.250 0.250 0.750 [4 per cell]
Te 0.000 0.000 0.500 [4 per cell]

The most stable of them is entry a.